# Cs2Li2CoO4 PBE+U relaxed
data_Cs2Li2CoO4
_space_group_name_H-M_alt 'P -1'
_space_group_IT_number 2
_cell_length_a 5.7103
_cell_length_b 5.8294
_cell_length_c 9.1802
_cell_angle_alpha 83.97
_cell_angle_beta 74.74
_cell_angle_gamma 87.06
loop_
_space_group_symop_operation_xyz
'x,y,z'
'-x,-y,-z'
loop_
_atom_site_label
_atom_site_type_symbol
_atom_site_fract_x
_atom_site_fract_y
_atom_site_fract_z
Cs1 Cs 0.0125 0.1516 0.2842
Cs2 Cs 0.2837 0.7240 0.0218
Li1 Li 0.1990 0.5897 0.4197
Li2 Li 0.4186 0.1865 0.4471
Co1 Co 0.3608 0.3161 0.7130
O1 O 0.1360 0.3542 0.6010
O2 O 0.2346 0.2035 0.9024
O3 O 0.3979 0.8668 0.3976
O4 O 0.4782 0.4273 0.2831
# **Total magnetization**: 9.996 μB per cell
# **Crystal system**: triclinic
# **VASP energy**: -0.3532 Ry per atom